Below is SmNbRu4 after structural relaxation, with properties calculated at the PBE level.

The structure in POSCAR format:
```
SmNbRu4
1.0
-0.242 4.793 -2.139
-4.598 1.887 -1.704
-2.355 3.918 2.591
Ru Sm Nb
4 1 1
Direct
0.625 0.625 0.625 Ru
0.126 0.625 0.625 Ru
0.625 0.625 0.126 Ru
0.625 0.126 0.625 Ru
0.000 0.000 0.000 Sm
0.250 0.250 0.250 Nb
```

## Properties
energy of formation from the pure elements	-0.2	eV/f.u.
space group	No. 216
raw total energy	-8.6782	eV/atom
volume	17.09	A^3/atom
mass density	10.48	Mg/m³